No. 1
## MgTiHg3 (meta-GGA SCAN)

Data for a crystal of MgTiHg3 relaxed with PBEsol.

a = 5.2210 Å, b = 5.2210 Å, c = 5.2210 Å
α = 90.00°, β = 90.00°, γ = 90.00°
Space group Pm-3m (No. 221)
Inequivalent atoms, fractional coordinates:
Mg 0.0000 0.0000 0.0000 [1 per cell]
Ti 0.5000 0.5000 0.5000 [1 per cell]
Hg 0.0000 0.5000 0.5000 [3 per cell]

Values from the calculation:
DFT formation energy	422	meV per atom
DOS(E_F)	0.69	states/eV per atom
density	7.9	g/cm³
raw total energy	-44.68	eV/atom

No. 2
## MgCo2O4 (meta-GGA SCAN)

Data for a crystal of MgCo2O4 relaxed with PBEsol.

a = 5.5572 Å, b = 9.8645 Å, c = 4.8179 Å
α = 90.00°, β = 90.00°, γ = 90.00°
Space group Pmmn (No. 59, origin choice 2)
Inequivalent atoms, fractional coordinates:
Mg 0.2500 0.2500 0.0287 [2 per cell]
Mg 0.2500 0.7500 0.3530 [2 per cell]
Co 0.0000 0.0000 0.5000 [4 per cell]
Co 0.2500 0.5090 0.9920 [4 per cell]
O 0.0019 0.1067 0.8334 [8 per cell]
O 0.2500 0.0953 0.3181 [4 per cell]
O 0.2500 0.6034 0.6519 [4 per cell]

Values from the calculation:
energy above the lowest structure with this stoichiometry	51.2	kJ/mol of formula units
DOS(E_F)	0.00	states/eV per atom
formation energy without anion corrections	-1902	meV per atom
density	5.2	g/cm³
raw total energy	-11.12	eV/atom

No. 3
## BaY2Os (meta-GGA SCAN)

Data for a crystal of BaY2Os relaxed with PBEsol.

a = 3.4624 Å, b = 3.4624 Å, c = 9.7820 Å
α = 90.00°, β = 90.00°, γ = 90.00°
Space group P4mm (No. 99)
Inequivalent atoms, fractional coordinates:
Ba 0.0000 0.0000 0.0000 [1 per cell]
Y 0.0000 0.0000 0.3617 [1 per cell]
Y 0.5000 0.5000 0.6451 [1 per cell]
Os 0.5000 0.5000 0.2147 [1 per cell]

Values from the calculation:
energy above the lowest structure with this stoichiometry	108.3	kJ/mol of formula units
DFT formation energy	261	meV per atom
DOS(E_F)	1.04	states/eV per atom
density	7.2	g/cm³
raw total energy	-41.52	eV/atom

No. 4
## Li2RePt (meta-GGA SCAN)

Data for a crystal of Li2RePt relaxed with PBEsol.

a = 2.7036 Å, b = 4.3797 Å, c = 8.6331 Å
α = 90.00°, β = 90.00°, γ = 90.00°
Space group Imm2 (No. 44)
Inequivalent atoms, fractional coordinates:
Li 0.0000 0.0000 0.0000 [2 per cell]
Li 0.0000 0.5000 0.2703 [2 per cell]
Re 0.0000 0.0000 0.5052 [2 per cell]
Pt 0.0000 0.5000 0.7481 [2 per cell]

Values from the calculation:
energy above the lowest structure with this stoichiometry	108.6	kJ/mol of formula units
DFT formation energy	54	meV per atom
DOS(E_F)	0.64	states/eV per atom
density	12.8	g/cm³
raw total energy	-36.46	eV/atom